Crystalline Ac4Hg2TeRh at its relaxed geometry. Source: Alexandria, functional GGA-PBE.

Lattice parameters (Å, degrees): 8.281 4.418 8.327 90.00 106.40 90.00
Fractional positions:
Ac 0.213 0.000 0.207
Ac 0.226 0.500 0.778
Ac 0.774 0.500 0.222
Ac 0.787 0.000 0.793
Hg 0.500 0.000 0.000
Hg 0.500 0.500 0.500
Te 0.000 0.000 0.500
Rh 0.000 0.500 0.000

volume: 292.3 Å³/cell
space-group type: No. 10
energy relative to the elements, uncorrected: -0.716 eV per atom
DFT total energy: -33.3 eV/f.u.

---

Crystalline Ac6HgTe3Rh2 at its relaxed geometry. Source: Alexandria, functional GGA-PBE.

Lattice parameters (Å, degrees): 7.786 7.786 8.478 98.80 98.80 119.88
Fractional positions:
Ac 0.069 0.427 0.783
Ac 0.213 0.213 0.213
Ac 0.427 0.069 0.783
Ac 0.573 0.931 0.217
Ac 0.787 0.787 0.787
Ac 0.931 0.573 0.217
Hg 0.500 0.500 0.000
Te 0.000 0.000 0.500
Te 0.341 0.659 0.500
Te 0.659 0.341 0.500
Rh 0.168 0.832 0.000
Rh 0.832 0.168 0.000

volume: 424.3 Å³/cell
space-group type: No. 12
energy relative to the elements, uncorrected: -1.047 eV per atom
DFT total energy: -61.6 eV/f.u.

---

Crystalline AcThHgRh at its relaxed geometry. Source: Alexandria, functional GGA-PBE.

Lattice parameters (Å, degrees): 5.355 5.355 5.355 60.00 60.00 60.00
Fractional positions:
Ac 0.000 0.000 0.000
Th 0.500 0.500 0.500
Hg 0.750 0.750 0.750
Rh 0.250 0.250 0.250

volume: 108.6 Å³/cell
space-group type: No. 216
ΔE to the lowest computed polymorph: 213 meV/atom
energy of formation: -0.35 eV per atom
DFT total energy: -20.6 eV/f.u.

---

Crystalline AcThHgRh at its relaxed geometry. Source: Alexandria, functional GGA-PBE.

Lattice parameters (Å, degrees): 4.192 4.192 8.448 104.43 104.43 59.99
Fractional positions:
Ac 0.000 0.000 0.000
Th 0.198 0.198 0.593
Hg 0.771 0.771 0.313
Rh 0.590 0.590 0.771

volume: 123.1 Å³/cell
space-group type: No. 8
ΔE to the lowest computed polymorph: 0 meV/atom
energy of formation: -0.56 eV per atom
DFT total energy: -21.4 eV/f.u.

---

Crystalline Ac2TlHgRh at its relaxed geometry. Source: Alexandria, functional GGA-PBE.

Lattice parameters (Å, degrees): 8.653 4.280 8.883 90.00 112.53 90.00
Fractional positions:
Ac 0.119 0.250 0.347
Ac 0.280 0.250 0.995
Ac 0.720 0.750 0.005
Ac 0.881 0.750 0.653
Tl 0.305 0.750 0.688
Tl 0.695 0.250 0.312
Hg 0.440 0.750 0.344
Hg 0.560 0.250 0.656
Rh 0.109 0.750 0.104
Rh 0.891 0.250 0.896

volume: 303.9 Å³/cell
space-group type: No. 11
energy of formation: -0.51 eV per atom
DFT total energy: -20.8 eV/f.u.

---

Crystalline AcTmHgRh at its relaxed geometry. Source: Alexandria, functional GGA-PBE.

Lattice parameters (Å, degrees): 5.262 5.262 5.262 60.00 60.00 60.00
Fractional positions:
Ac 0.000 0.000 0.000
Tm 0.500 0.500 0.500
Hg 0.250 0.250 0.250
Rh 0.750 0.750 0.750

volume: 103.0 Å³/cell
space-group type: No. 216
energy of formation: -0.47 eV per atom
DFT total energy: -18.1 eV/f.u.

---

Crystalline Ac2Zn2HgRh5 at its relaxed geometry. Source: Alexandria, functional GGA-PBE.

Lattice parameters (Å, degrees): 10.026 10.026 3.799 90.00 90.00 90.00
Fractional positions:
Ac 0.180 0.320 0.000
Ac 0.320 0.820 0.000
Ac 0.680 0.180 0.000
Ac 0.820 0.680 0.000
Zn 0.117 0.617 0.000
Zn 0.383 0.117 0.000
Zn 0.617 0.883 0.000
Zn 0.883 0.383 0.000
Hg 0.000 0.000 0.000
Hg 0.500 0.500 0.000
Rh 0.000 0.500 0.500
Rh 0.066 0.787 0.500
Rh 0.213 0.066 0.500
Rh 0.287 0.566 0.500
Rh 0.434 0.287 0.500
Rh 0.500 0.000 0.500
Rh 0.566 0.713 0.500
Rh 0.713 0.434 0.500
Rh 0.787 0.934 0.500
Rh 0.934 0.213 0.500

volume: 381.9 Å³/cell
space-group type: No. 127
energy of formation: -0.41 eV per atom
DFT total energy: -51.9 eV/f.u.

---

Crystalline Ac6Hg3Ru at its relaxed geometry. Source: Alexandria, functional GGA-PBE.

Lattice parameters (Å, degrees): 8.285 8.288 12.848 90.00 120.96 90.00
Fractional positions:
Ac 0.067 0.055 0.243
Ac 0.067 0.445 0.743
Ac 0.223 0.695 0.081
Ac 0.223 0.805 0.581
Ac 0.341 0.175 0.064
Ac 0.341 0.325 0.564
Ac 0.659 0.675 0.436
Ac 0.659 0.825 0.936
Ac 0.777 0.195 0.419
Ac 0.777 0.305 0.919
Ac 0.933 0.555 0.257
Ac 0.933 0.945 0.757
Hg 0.335 0.112 0.789
Hg 0.335 0.388 0.289
Hg 0.500 0.000 0.500
Hg 0.500 0.500 0.000
Hg 0.665 0.612 0.711
Hg 0.665 0.888 0.211
Ru 0.000 0.000 0.000
Ru 0.000 0.500 0.500

volume: 756.6 Å³/cell
space-group type: No. 14
ΔE to the lowest computed polymorph: 0 meV/atom
energy of formation: -0.30 eV per atom
DFT total energy: -37.9 eV/f.u.

---

Crystalline Ac8Hg3Ru at its relaxed geometry. Source: Alexandria, functional GGA-PBE.

Lattice parameters (Å, degrees): 9.534 9.534 9.534 131.96 131.96 70.29
Fractional positions:
Ac 0.121 0.121 0.480
Ac 0.121 0.641 0.000
Ac 0.359 0.359 0.480
Ac 0.359 0.879 0.000
Ac 0.641 0.121 0.000
Ac 0.641 0.641 0.520
Ac 0.879 0.359 0.000
Ac 0.879 0.879 0.520
Hg 0.250 0.750 0.500
Hg 0.500 0.500 0.000
Hg 0.750 0.250 0.500
Ru 0.000 0.000 0.000

volume: 469.7 Å³/cell
space-group type: No. 139
energy of formation: -0.10 eV per atom
DFT total energy: -44.3 eV/f.u.

---

Crystalline Ac6HgRu3 at its relaxed geometry. Source: Alexandria, functional GGA-PBE.

Lattice parameters (Å, degrees): 12.712 4.360 12.722 90.00 109.30 90.00
Fractional positions:
Ac 0.037 0.250 0.393
Ac 0.112 0.250 0.949
Ac 0.205 0.750 0.257
Ac 0.275 0.750 0.762
Ac 0.359 0.250 0.537
Ac 0.430 0.750 0.087
Ac 0.570 0.250 0.913
Ac 0.641 0.750 0.463
Ac 0.725 0.250 0.238
Ac 0.795 0.250 0.743
Ac 0.888 0.750 0.051
Ac 0.963 0.750 0.607
Hg 0.441 0.250 0.301
Hg 0.559 0.750 0.699
Ru 0.046 0.250 0.170
Ru 0.195 0.750 0.509
Ru 0.338 0.250 0.917
Ru 0.662 0.750 0.083
Ru 0.805 0.250 0.491
Ru 0.954 0.750 0.830

volume: 665.5 Å³/cell
space-group type: No. 11
energy of formation: -0.21 eV per atom
DFT total energy: -54.9 eV/f.u.

---

Crystalline Ac14Hg6Ru3 at its relaxed geometry. Source: Alexandria, functional GGA-PBE.

Lattice parameters (Å, degrees): 11.156 11.156 7.767 90.00 90.00 120.00
Fractional positions:
Ac 0.000 0.000 0.000
Ac 0.066 0.533 0.232
Ac 0.208 0.417 0.786
Ac 0.208 0.792 0.786
Ac 0.248 0.124 0.463
Ac 0.419 0.210 0.943
Ac 0.467 0.533 0.232
Ac 0.467 0.934 0.232
Ac 0.583 0.792 0.786
Ac 0.667 0.333 0.484
Ac 0.790 0.210 0.943
Ac 0.790 0.581 0.943
Ac 0.876 0.124 0.463
Ac 0.876 0.752 0.463
Hg 0.146 0.292 0.192
Hg 0.146 0.854 0.192
Hg 0.517 0.035 0.662
Hg 0.517 0.483 0.662
Hg 0.708 0.854 0.192
Hg 0.965 0.483 0.662
Ru 0.000 0.000 0.654
Ru 0.333 0.667 0.020
Ru 0.667 0.333 0.136

volume: 837.1 Å³/cell
space-group type: No. 156
energy of formation: -0.25 eV per atom
DFT total energy: -93.0 eV/f.u.

---

Crystalline Ac5HgRu at its relaxed geometry. Source: Alexandria, functional GGA-PBE.

Lattice parameters (Å, degrees): 7.563 7.563 11.885 109.51 109.51 62.07
Fractional positions:
Ac 0.048 0.375 0.632
Ac 0.048 0.952 0.750
Ac 0.220 0.562 0.979
Ac 0.375 0.048 0.132
Ac 0.438 0.780 0.521
Ac 0.562 0.220 0.479
Ac 0.625 0.952 0.868
Ac 0.780 0.438 0.021
Ac 0.952 0.048 0.250
Ac 0.952 0.625 0.368
Hg 0.477 0.523 0.750
Hg 0.523 0.477 0.250
Ru 0.000 0.000 0.000
Ru 0.000 0.000 0.500

volume: 553.1 Å³/cell
space-group type: No. 15
energy of formation: -0.13 eV per atom
DFT total energy: -31.0 eV/f.u.